Entry 1:
An optimized crystal structure of ErAl3Tc, computed with PBE.

E_form: -230.4 meV/atom
DOS(E_F): 0.622 states/eV per atom
Total moment: 0.00 μB per cell
SG: Imma, No. 74
Volume: 411.9 Å³ per cell

The structure in extended XYZ format:
```
20
Lattice="-0.317 5.260 2.373 -7.462 -0.954 1.118 1.737 -3.701 8.434" Properties=species:S:1:pos:R:3 pbc="T T T"
Er -1.783 -0.519 7.951
Er -6.541 3.483 5.479
Er -4.259 1.124 3.974
Er 0.499 -2.878 6.446
Al -2.030 3.549 2.417
Al -4.892 1.222 7.193
Al -4.171 -0.314 10.695
Al -4.734 -1.407 6.007
Al -4.012 -2.944 9.508
Al -1.150 -0.617 4.732
Al -1.871 0.919 1.230
Al -1.308 2.012 5.919
Al -5.921 -1.048 8.571
Al -3.216 3.907 4.981
Al -0.121 1.653 3.354
Al -2.825 -3.303 6.944
Tc -3.731 -0.477 0.559
Tc 0.710 0.779 5.403
Tc -0.158 2.630 1.187
Tc -2.863 -2.327 4.776
```



Entry 2:
An optimized crystal structure of ErThAlTc, computed with PBE.

E_form: -160.7 meV/atom
DOS(E_F): 0.500 states/eV per atom
Total moment: 0.00 μB per cell
SG: F-43m, No. 216
Volume: 91.0 Å³ per cell

The structure in extended XYZ format:
```
4
Lattice="-2.853 2.616 -3.240 -4.462 1.839 1.482 -0.601 4.975 0.614" Properties=species:S:1:pos:R:3 pbc="T T T"
Al -5.937 7.073 -0.859
Tc -1.979 2.358 -0.286
Th -3.958 4.715 -0.572
Er 0.000 0.000 0.000
```



Entry 3:
An optimized crystal structure of ErTiAlTc, computed with PBE.

E_form: -220.5 meV/atom
DOS(E_F): 0.623 states/eV per atom
Total moment: 0.00 μB per cell
SG: F-43m, No. 216
Volume: 72.8 Å³ per cell

The structure in extended XYZ format:
```
4
Lattice="-1.638 3.225 2.979 -0.604 -1.078 4.520 2.831 1.843 3.247" Properties=species:S:1:pos:R:3 pbc="T T T"
Al 0.000 0.000 0.000
Ti 0.147 0.998 2.687
Tc 0.294 1.995 5.373
Er 0.442 2.993 8.060
```



Entry 4:
An optimized crystal structure of ErTmAlTc, computed with PBE.

E_form: -203.7 meV/atom
DOS(E_F): 0.751 states/eV per atom
Total moment: 0.00 μB per cell
SG: F-43m, No. 216
Volume: 84.1 Å³ per cell

The structure in extended XYZ format:
```
4
Lattice="4.918 0.000 0.000 2.459 4.259 0.000 2.459 1.420 4.015" Properties=species:S:1:pos:R:3 pbc="T T T"
Al 7.376 4.259 3.011
Tm 4.918 2.839 2.008
Tc 2.459 1.420 1.004
Er 0.000 0.000 0.000
```



Entry 5:
An optimized crystal structure of YErAlTc, computed with PBE.

E_form: -173.2 meV/atom
DOS(E_F): 0.812 states/eV per atom
Total moment: 0.00 μB per cell
SG: F-43m, No. 216
Volume: 86.2 Å³ per cell

The structure in extended XYZ format:
```
4
Lattice="-2.795 0.902 3.995 1.186 -2.029 4.365 1.754 2.845 3.662" Properties=species:S:1:pos:R:3 pbc="T T T"
Y 0.073 0.859 6.011
Al 0.036 0.430 3.005
Tc 0.109 1.289 9.016
Er 0.000 0.000 0.000
```



Entry 6:
An optimized crystal structure of Er3Al5Te12, computed with PBE.

Raw formation energy: -706 meV per atom
Total moment: 0.00 μB per cell
SG: Ia-3d, No. 230
Volume: 2491.3 Å³ per cell

The structure in extended XYZ format:
```
80
Lattice="-10.269 0.095 10.646 12.926 -4.438 5.657 1.469 13.630 -5.555" Properties=species:S:1:pos:R:3 pbc="T T T"
Er -2.671 0.111 9.412
Er 0.893 -1.542 12.864
Er 6.762 5.226 4.763
Er -0.400 4.580 1.285
Er -7.002 2.936 8.634
Er 4.595 0.669 6.139
Er -0.469 8.618 4.609
Er 11.129 6.351 2.114
Er 4.527 4.707 9.463
Er -2.635 4.061 5.985
Er 3.233 10.828 -2.116
Er 6.797 9.176 1.336
Al 3.931 1.755 2.063
Al 6.463 -2.219 2.829
Al 0.000 0.000 0.000
Al -0.436 0.630 4.712
Al -4.400 6.863 2.545
Al 1.329 -2.172 8.152
Al 8.962 1.794 3.491
Al -4.800 11.443 3.831
Al 0.928 2.409 9.437
Al -1.133 9.703 0.533
Al 5.260 -0.417 10.215
Al 2.063 4.643 5.374
Al -5.134 0.048 5.323
Al 0.735 6.815 -2.778
Al 3.198 6.878 1.311
Al 8.927 -2.156 6.917
Al 7.198 4.596 0.051
Al -4.835 7.492 7.257
Al 4.562 8.657 6.036
Al 0.196 7.532 8.685
Te -5.630 0.003 8.084
Te 4.200 3.248 4.209
Te -4.634 2.363 10.776
Te -2.588 0.824 6.207
Te 4.172 6.102 6.511
Te -2.021 -0.135 12.622
Te 7.467 2.175 5.617
Te 11.082 -2.337 5.426
Te 7.398 4.983 7.976
Te 0.525 -0.143 9.915
Te -1.551 3.120 8.939
Te 3.355 -3.470 13.730
Te 8.695 4.162 2.383
Te 1.589 -0.616 5.832
Te 11.439 1.070 3.986
Te -1.763 7.516 1.844
Te 1.695 2.112 0.732
Te 4.098 -1.734 8.262
Te 3.771 -0.046 12.348
Te 4.195 -0.607 3.183
Te 9.772 6.505 5.058
Te 2.642 2.924 7.513
Te 2.097 3.734 11.381
Te -2.557 11.093 5.153
Te 1.485 6.363 3.235
Te 2.029 5.553 -0.633
Te 6.684 -1.806 5.595
Te 0.355 9.333 -1.600
Te -5.646 2.781 5.690
Te -0.068 9.894 7.565
Te 0.029 11.021 2.486
Te 5.890 1.771 8.903
Te 2.432 7.174 10.016
Te -7.312 8.217 6.762
Te -4.568 5.125 8.365
Te 0.772 12.757 -2.982
Te 2.538 9.903 4.916
Te -3.272 4.304 2.772
Te 3.602 9.430 0.833
Te 5.678 6.167 1.809
Te -6.956 11.624 5.322
Te -3.340 7.111 5.131
Te 6.714 8.463 4.541
Te 6.148 9.422 -1.874
Te -0.046 3.184 4.237
Te 8.760 6.924 -0.028
Te -0.073 6.039 6.539
Te 9.756 9.284 2.664
```



Entry 7:
An optimized crystal structure of Er7Al2Te2, computed with PBE.

Raw formation energy: -507 meV per atom
DOS(E_F): 1.106 states/eV per atom
Total moment: 0.00 μB per cell
SG: Imm2, No. 44
Volume: 302.6 Å³ per cell

The structure in extended XYZ format:
```
11
Lattice="3.829 0.000 0.000 1.915 9.399 -0.142 1.915 4.332 8.343" Properties=species:S:1:pos:R:3 pbc="T T T"
Er 3.829 1.767 2.512
Er 5.744 7.772 7.104
Er 3.829 4.494 8.072
Er 3.829 5.874 2.341
Er 3.829 8.885 4.140
Er 3.829 10.681 7.836
Er 1.915 3.791 4.726
Al 1.915 8.298 1.703
Al 3.829 6.069 5.433
Te 5.744 10.885 5.497
Te 1.915 3.730 1.223
```



Entry 8:
An optimized crystal structure of Er2AlTe, computed with PBE.

Raw formation energy: -870 meV per atom
DOS(E_F): 0.634 states/eV per atom
Total moment: 0.00 μB per cell
SG: Cmcm, No. 63
Volume: 211.8 Å³ per cell
Distance to the lowest polymorph of the same formula: 0 meV per atom

The structure in extended XYZ format:
```
8
Lattice="4.150 0.000 0.000 0.000 4.311 -0.766 0.000 -0.117 11.861" Properties=species:S:1:pos:R:3 pbc="T T T"
Er 3.112 2.836 3.448
Er 1.037 1.358 7.647
Er 3.112 3.938 9.653
Er 1.037 0.256 1.442
Al 1.037 1.887 10.624
Al 3.112 2.307 0.471
Te 1.037 0.796 4.479
Te 3.112 3.399 6.616
```



Entry 9:
An optimized crystal structure of ErAlTe3, computed with PBE.

Raw formation energy: -901 meV per atom
Total moment: 0.00 μB per cell
SG: Ama2, No. 40
Volume: 389.3 Å³ per cell
Distance to the lowest polymorph of the same formula: 0 meV per atom

The structure in extended XYZ format:
```
10
Lattice="-4.203 0.302 -0.720 0.251 -5.936 -3.953 -2.412 -4.056 12.379" Properties=species:S:1:pos:R:3 pbc="T T T"
Er -2.610 -2.907 7.671
Er -3.889 -3.584 2.165
Al -1.485 -5.603 -0.024
Al -4.805 -5.840 6.563
Te -4.768 -8.164 5.376
Te -3.394 -3.901 -0.859
Te -4.414 -3.554 5.238
Te -2.968 -5.844 8.528
Te -1.590 -1.654 2.245
Te -1.957 -5.969 2.579
```



Entry 10:
An optimized crystal structure of Er2AlTe, computed with PBE.

Raw formation energy: -726 meV per atom
DOS(E_F): 0.419 states/eV per atom
Total moment: 0.00 μB per cell
SG: R-3m, No. 166
Volume: 109.6 Å³ per cell
Distance to the lowest polymorph of the same formula: 144 meV per atom

The structure in extended XYZ format:
```
4
Lattice="-0.624 -2.056 -3.423 1.543 -3.709 -0.439 -6.153 -4.966 1.719" Properties=species:S:1:pos:R:3 pbc="T T T"
Te -2.617 -5.365 -1.071
Al 0.000 0.000 0.000
Er -1.258 -2.659 -0.559
Er -3.975 -8.072 -1.584
```



Entry 11:
An optimized crystal structure of Er8Al2Te, computed with PBE.

Raw formation energy: -307 meV per atom
DOS(E_F): 1.006 states/eV per atom
Total moment: 0.00 μB per cell
SG: C2/m, No. 12
Volume: 309.9 Å³ per cell

The structure in extended XYZ format:
```
11
Lattice="-4.868 -0.468 0.016 0.405 -4.030 5.418 1.605 8.989 3.871" Properties=species:S:1:pos:R:3 pbc="T T T"
Er -0.453 4.919 5.979
Er -2.300 -1.399 6.567
Er -2.626 1.966 5.916
Er -3.115 7.016 4.962
Er -0.232 2.525 3.389
Er -0.557 5.890 2.738
Er -2.405 -0.427 3.326
Er 0.257 -2.525 4.343
Al -2.853 4.248 3.787
Al -0.005 0.243 5.518
Te -2.434 -0.234 0.008
```



Entry 12:
An optimized crystal structure of Er5Al2Te2, computed with PBE.

Raw formation energy: -777 meV per atom
DOS(E_F): 1.173 states/eV per atom
Total moment: 0.06 μB per cell
SG: Cmce, No. 64
Volume: 476.4 Å³ per cell

The structure in extended XYZ format:
```
18
Lattice="7.392 0.000 2.683 0.000 7.887 0.000 1.076 0.000 8.560" Properties=species:S:1:pos:R:3 pbc="T T T"
Er 0.000 0.000 0.000
Er 3.696 3.944 1.342
Er 4.204 1.330 7.578
Er 6.699 6.557 8.484
Er 3.003 5.274 7.142
Er 7.900 2.613 8.920
Er 4.264 6.557 3.666
Er 1.769 1.330 2.760
Er 5.465 2.613 4.102
Er 0.568 5.274 2.324
Al 0.918 2.977 0.333
Al 6.474 4.910 2.350
Al 2.778 6.921 1.008
Al 4.614 0.967 1.675
Te 2.152 0.000 5.594
Te 5.849 3.944 6.936
Te 6.316 0.000 5.649
Te 2.619 3.944 4.308
```



Entry 13:
An optimized crystal structure of Er3AlTe6, computed with PBE.

Raw formation energy: -1099 meV per atom
Total moment: 0.00 μB per cell
SG: Cmc2_1, No. 36
Volume: 645.7 Å³ per cell

The structure in extended XYZ format:
```
20
Lattice="7.213 0.000 0.000 0.000 9.569 0.063 0.000 -2.074 9.341" Properties=species:S:1:pos:R:3 pbc="T T T"
Er 3.514 7.267 6.800
Er 7.121 5.007 8.601
Er 2.729 2.645 5.581
Er 6.336 4.850 3.824
Er 7.121 0.228 2.604
Er 3.514 2.488 0.803
Al 0.170 0.312 7.440
Al 3.777 7.183 1.965
Te 1.301 5.411 5.897
Te 4.908 4.541 6.590
Te 1.511 2.347 8.438
Te 5.117 7.702 4.171
Te 1.229 -1.610 8.972
Te 4.753 0.497 7.293
Te 1.147 6.998 2.112
Te 4.836 9.105 0.433
Te 1.511 -0.207 5.233
Te 5.117 5.147 0.966
Te 1.301 2.954 2.814
Te 4.908 2.084 3.507
```



Entry 14:
An optimized crystal structure of ErAl2Te4, computed with PBE.

Raw formation energy: -479 meV per atom
DOS(E_F): 0.554 states/eV per atom
Total moment: 0.85 μB per cell
SG: I4/m, No. 87
Volume: 233.4 Å³ per cell

The structure in extended XYZ format:
```
7
Lattice="-1.829 -6.049 -2.400 3.852 0.217 5.550 -5.781 3.047 1.730" Properties=species:S:1:pos:R:3 pbc="T T T"
Er 1.011 -2.916 1.575
Al -0.459 0.174 4.428
Al -3.299 -2.959 0.452
Te -2.743 -0.398 1.025
Te -1.148 -4.503 0.024
Te -2.610 1.718 4.856
Te -1.015 -2.387 3.855
```



Entry 15:
An optimized crystal structure of Er2AlTe4, computed with PBE.

Raw formation energy: -988 meV per atom
DOS(E_F): 0.324 states/eV per atom
Total moment: 0.00 μB per cell
SG: C2/m, No. 12
Volume: 215.7 Å³ per cell

The structure in extended XYZ format:
```
7
Lattice="4.248 0.000 0.000 0.000 7.502 -0.083 -2.124 -3.737 6.810" Properties=species:S:1:pos:R:3 pbc="T T T"
Er 2.124 3.881 3.269
Er 0.000 -0.116 3.458
Al 0.000 0.000 0.000
Te 2.124 -1.260 5.275
Te 0.000 5.024 1.452
Te 2.124 1.243 1.625
Te 0.000 2.522 5.103
```



Entry 16:
An optimized crystal structure of ErAlTe3, computed with PBE.

Raw formation energy: -779 meV per atom
Total moment: 0.00 μB per cell
SG: Pnma, No. 62
Volume: 712.9 Å³ per cell
Distance to the lowest polymorph of the same formula: 122 meV per atom

The structure in extended XYZ format:
```
20
Lattice="7.345 0.000 0.000 0.000 8.273 0.000 0.000 0.000 11.731" Properties=species:S:1:pos:R:3 pbc="T T T"
Er 3.673 0.000 0.000
Er 0.000 4.137 5.866
Er 0.000 4.137 0.000
Er 3.673 0.000 5.866
Al 3.960 2.670 2.933
Al 0.287 1.467 8.798
Al 3.386 5.603 8.798
Al 7.058 6.807 2.933
Te 6.224 1.476 10.969
Te 2.551 2.660 5.103
Te 2.551 2.660 0.762
Te 1.122 6.797 5.103
Te 1.122 6.797 0.762
Te 4.794 5.613 6.628
Te 4.794 5.613 10.969
Te 6.224 1.476 6.628
Te 4.749 8.243 2.933
Te 1.076 4.166 8.798
Te 2.597 0.030 8.798
Te 6.269 4.107 2.933
```



Entry 17:
An optimized crystal structure of Er2AlTe, computed with PBE.

Raw formation energy: -687 meV per atom
DOS(E_F): 0.640 states/eV per atom
Total moment: 0.00 μB per cell
SG: R3m, No. 160
Volume: 108.9 Å³ per cell
Distance to the lowest polymorph of the same formula: 183 meV per atom

The structure in extended XYZ format:
```
4
Lattice="-3.117 -2.380 -0.172 0.184 -3.328 -2.073 1.689 -5.872 5.860" Properties=species:S:1:pos:R:3 pbc="T T T"
Er 1.038 -4.904 4.249
Er -0.328 -2.870 0.863
Al -0.273 -9.669 4.349
Te -0.616 -5.799 1.823
```



Entry 18:
An optimized crystal structure of ErAl2Te6, computed with PBE.

Raw formation energy: -480 meV per atom
DOS(E_F): 0.063 states/eV per atom
Total moment: 0.00 μB per cell
SG: C2/c, No. 15
Volume: 615.1 Å³ per cell

The structure in extended XYZ format:
```
18
Lattice="7.988 -0.327 -0.317 1.917 8.898 1.533 1.917 1.821 8.843" Properties=species:S:1:pos:R:3 pbc="T T T"
Er 3.914 2.525 7.952
Er 7.908 7.866 2.108
Al 4.061 6.916 7.833
Al 3.767 2.502 3.560
Al 7.761 3.476 2.227
Al 8.055 7.889 6.500
Te 5.636 7.178 5.689
Te 2.192 4.637 3.229
Te 6.187 3.214 4.371
Te 9.630 5.755 6.831
Te 9.695 8.229 4.469
Te 6.122 5.494 1.822
Te 2.128 2.162 5.591
Te 5.701 4.897 8.238
Te 4.225 8.768 9.723
Te 3.604 0.552 1.770
Te 7.598 1.623 0.337
Te 8.219 9.839 8.290
```



Entry 19:
An optimized crystal structure of Er6AlTe5, computed with PBE.

Raw formation energy: -1116 meV per atom
DOS(E_F): 0.444 states/eV per atom
Total moment: 0.00 μB per cell
SG: C2/m, No. 12
Volume: 342.6 Å³ per cell

The structure in extended XYZ format:
```
12
Lattice="7.350 -0.095 -1.381 -3.955 6.196 -1.381 0.135 0.243 7.476" Properties=species:S:1:pos:R:3 pbc="T T T"
Te 5.435 1.130 2.357
Te 3.555 2.017 -1.381
Te 1.765 3.172 2.357
Te -0.160 4.084 -1.381
Te -1.904 5.214 2.357
Al 0.000 0.000 0.000
Er 2.586 0.496 1.106
Er 4.472 3.884 3.608
Er 0.877 1.577 5.051
Er 2.653 4.767 -0.336
Er -0.942 2.459 1.106
Er 0.944 5.848 3.608
```